Compound: Pr2ClO2
Source: Alexandria
Functional: GGA-PBE
Structure: optimized geometry

Properties
energy = -7.086 eV per atom
DOS(E_F) = 0.375 states/eV/atom

```
data_Pr2ClO2
_chemical_formula_sum 'Pr2 Cl1 O2'
_space_group_name_H-M_alt 'P -3 m 1'
_space_group_IT_number 164
_space_group_name_Hall '-P 3 2"'
_cell_length_a 4.0857
_cell_length_b 4.0857
_cell_length_c 7.0537
_cell_angle_alpha 90.00
_cell_angle_beta 90.00
_cell_angle_gamma 120.00
loop_
_atom_site_label
_atom_site_type_symbol
_atom_site_fract_x
_atom_site_fract_y
_atom_site_fract_z
_atom_site_occupancy
Pr1 Pr 0.3333 0.6667 0.3093 1
Cl1 Cl 0.0000 0.0000 0.0000 1
O1 O 0.3333 0.6667 0.6500 1
```

Compound: Ho2Er2Pt3
Source: Alexandria
Functional: GGA-PBE
Structure: optimized geometry

Properties
energy = -6.340 eV per atom
DOS(E_F) = 0.408 states/eV/atom
DFT formation energy = -1140 meV per atom

```
data_Ho2Er2Pt3
_chemical_formula_sum 'Ho8 Er8 Pt12'
_space_group_name_H-M_alt 'I 21 3'
_space_group_IT_number 199
_space_group_name_Hall 'I 2b 2c 3'
_cell_length_a 8.671
_cell_length_b 8.671
_cell_length_c 8.671
_cell_angle_alpha 90.00
_cell_angle_beta 90.00
_cell_angle_gamma 90.00
loop_
_atom_site_label
_atom_site_type_symbol
_atom_site_fract_x
_atom_site_fract_y
_atom_site_fract_z
_atom_site_occupancy
Ho1 Ho 0.186 0.186 0.186 1
Er1 Er 0.064 0.436 0.564 1
Pt1 Pt 0.000 0.250 0.874 1
```

no.,total magnetic moment (μB/f.u.)
1,0.2
2,0.0